DFT (PBE) results for a geometry-optimized Zn2NiAs structure.

Lattice parameters (Å, degrees): 2.769 3.781 5.871 90.00 90.77 90.00
Space group Pm (No. 6)
Unique sites:
Zn  0.000  0.000  0.000 x1
Zn  0.498  0.500  0.746 x1
Ni  0.994  0.000  0.580 x1
As  0.983  0.500  0.314 x1

Values from the calculation:
total magnetization = 0.0 Bohr magnetons per cell
total DFT energy (no corrections) = -12.99 eV/cell
formation enthalpy at 0 K = -0.05 kcal/mol of atoms



DFT (PBE) results for a geometry-optimized Sr2Cu2PbO6 structure.

Lattice parameters (Å, degrees): 5.9563 5.9563 16.8866 90.00 90.00 120.00
Space group R-3m (No. 166, hexagonal axes)
Unique sites:
Sr  0.0000  0.0000  0.2090 x6
Cu  0.0000  0.0000  0.4186 x6
Pb  0.0000  0.0000  0.0000 x3
O  0.0233  0.5116  0.7570 x18

Values from the calculation:
total magnetization = 6.2 Bohr magnetons per cell
total DFT energy (no corrections) = -179.79 eV/cell
ΔE_f (raw) = -130.84 kJ/mol of atoms



DFT (PBE) results for a geometry-optimized InSe structure.

Lattice parameters (Å, degrees): 6.345 8.166 9.170 90.00 90.00 90.00
Space group P2_12_12_1 (No. 19)
Unique sites:
In  0.186  0.095  0.448 x4
In  0.234  0.301  0.856 x4
Se  0.242  0.600  0.047 x4
Se  0.243  0.869  0.660 x4

Values from the calculation:
total magnetization = 0.0 Bohr magnetons per cell
total DFT energy (no corrections) = -55.77 eV/cell
ΔE_f (raw) = -36.10 kJ/mol of atoms



DFT (PBE) results for a geometry-optimized Te2RuSe structure.

Lattice parameters (Å, degrees): 3.310 4.532 12.550 90.00 90.00 90.00
Space group Immm (No. 71)
Unique sites:
Te  0.000  0.000  0.170 x4
Ru  0.000  0.500  0.500 x2
Se  0.000  0.500  0.000 x2

Values from the calculation:
total magnetization = 0.0 Bohr magnetons per cell
total DFT energy (no corrections) = -36.67 eV/cell
ΔE_f (raw) = 17.14 kJ/mol of atoms



DFT (PBE) results for a geometry-optimized Pr2Ga4SnPt3 structure.

Lattice parameters (Å, degrees): 4.366 4.366 10.729 90.00 90.00 90.00
Space group P-4m2 (No. 115)
Unique sites:
Pr  0.000  0.500  0.237 x2
Ga  0.000  0.000  0.000 x1
Ga  0.000  0.500  0.650 x2
Ga  0.500  0.500  0.000 x1
Sn  0.000  0.000  0.500 x1
Pt  0.000  0.500  0.878 x2
Pt  0.500  0.500  0.500 x1

Values from the calculation:
total magnetization = 0.0 Bohr magnetons per cell
total DFT energy (no corrections) = -52.32 eV/cell
formation enthalpy at 0 K = -19.67 kcal/mol of atoms



DFT (PBE) results for a geometry-optimized LaTeMo2 structure.

Lattice parameters (Å, degrees): 3.4280 3.4280 25.8541 90.00 90.00 120.00
Space group R-3m (No. 166, hexagonal axes)
Unique sites:
La  0.0000  0.0000  0.0000 x3
Te  0.0000  0.0000  0.5000 x3
Mo  0.0000  0.0000  0.2407 x6

Values from the calculation:
total magnetization = 0.0 Bohr magnetons per cell
total DFT energy (no corrections) = -80.97 eV/cell
ΔE_f (raw) = 66.09 kJ/mol of atoms



DFT (PBE) results for a geometry-optimized CsNa2SbPt structure.

Lattice parameters (Å, degrees): 5.750 5.750 5.102 90.00 90.00 90.00
Space group P4/mmm (No. 123)
Unique sites:
Cs  0.000  0.000  0.000 x1
Na  0.000  0.500  0.500 x2
Sb  0.500  0.500  0.000 x1
Pt  0.500  0.500  0.500 x1

Values from the calculation:
total magnetization = 0.0 Bohr magnetons per cell
total DFT energy (no corrections) = -15.14 eV/cell
ΔE_f (raw) = -28.61 kJ/mol of atoms



DFT (PBE) results for a geometry-optimized HfZrMnAg structure.

Lattice parameters (Å, degrees): 6.609 6.609 6.609 90.00 90.00 90.00
Space group F-43m (No. 216)
Unique sites:
Hf  0.000  0.000  0.000 x4
Zr  0.000  0.000  0.500 x4
Mn  0.250  0.250  0.250 x4
Ag  0.250  0.250  0.750 x4

Values from the calculation:
total magnetization = 0.0 Bohr magnetons per cell
total DFT energy (no corrections) = -121.32 eV/cell
formation enthalpy at 0 K = 1.10 kcal/mol of atoms